No. 1
# MgSc4ZnPd2

A relaxed structure of MgSc4ZnPd2 (PBE-GGA, the Alexandria database).

Properties
D(E_F) = 5.751 states/eV per cell
DFT formation energy = -0.5297 eV per atom
total DFT energy (no corrections) = -5.3522 eV/atom

a b c (Å): 4.7649 4.7649 8.2921
angles (deg): 73.30 73.30 60.00
Closest atoms and distances in Å follow each position.
Fractional coordinates of all 8 atoms:
Mg1 0.0000 0.0000 0.0000  8 Sc 2.96-3.04, 6 Pd 3.30
Sc1 0.3799 0.3799 0.8602  1 Zn 2.82, 4 Pd 2.85-2.92, 3 Mg 2.96
Sc2 0.8706 0.8706 0.3882  3 Zn 2.89, 4 Pd 2.95-3.00, 1 Mg 3.04
Sc3 0.1294 0.1294 0.6118  3 Zn 2.89, 4 Pd 2.95-3.00, 1 Mg 3.04
Sc4 0.6201 0.6201 0.1398  1 Zn 2.82, 4 Pd 2.85-2.92, 3 Mg 2.96
Zn1 0.5000 0.5000 0.5000  8 Sc 2.82-2.89
Pd1 0.7447 0.7447 0.7659  8 Sc 2.85-3.00
Pd2 0.2553 0.2553 0.2341  8 Sc 2.85-3.00

=====

No. 2
# MgSc2Zn2Pd2

A relaxed structure of MgSc2Zn2Pd2 (PBE-GGA, the Alexandria database).

Properties
D(E_F) = 4.576 states/eV per cell
DFT formation energy = -0.5973 eV per atom
total DFT energy (no corrections) = -4.4818 eV/atom

a b c (Å): 4.3133 5.0670 6.6627
angles (deg): 106.91 90.00 115.19
Closest atoms and distances in Å follow each position.
Fractional coordinates of all 7 atoms:
Mg1 0.0000 0.0000 0.0000  4 Pd 2.68, 2 Zn 2.79
Sc1 0.6388 0.2776 0.7595  4 Pd 2.77-2.89, 3 Zn 2.91-2.99
Sc2 0.3612 0.7224 0.2405  4 Pd 2.77-2.89, 3 Zn 2.91-2.99
Zn1 0.1219 0.2438 0.4414  1 Zn 2.59, 3 Pd 2.62-2.76, 1 Mg 2.79
Zn2 0.8781 0.7562 0.5586  1 Zn 2.59, 3 Pd 2.62-2.76, 1 Mg 2.79
Pd1 0.6525 0.3049 0.1986  3 Zn 2.62-2.76, 2 Mg 2.68, 4 Sc 2.77-2.89
Pd2 0.3475 0.6951 0.8014  3 Zn 2.62-2.76, 2 Mg 2.68, 4 Sc 2.77-2.89

=====

No. 3
# MgSc4Zn2Pd

A relaxed structure of MgSc4Zn2Pd (PBE-GGA, the Alexandria database).

Properties
D(E_F) = 6.909 states/eV per cell
DFT formation energy = -0.4162 eV per atom
total DFT energy (no corrections) = -4.7489 eV/atom

a b c (Å): 4.8004 4.8004 8.3092
angles (deg): 73.21 73.21 60.00
Closest atoms and distances in Å follow each position.
Fractional coordinates of all 8 atoms:
Mg1 0.0000 0.0000 0.0000  8 Sc 3.00-3.06, 6 Zn 3.28
Sc1 0.3827 0.3827 0.8519  1 Pd 2.76, 4 Zn 2.83-2.91, 3 Mg 3.00
Sc2 0.8698 0.8698 0.3905  3 Pd 2.90, 4 Zn 3.02-3.06, 1 Mg 3.06
Sc3 0.1302 0.1302 0.6095  3 Pd 2.90, 4 Zn 3.02-3.06, 1 Mg 3.06
Sc4 0.6173 0.6173 0.1481  1 Pd 2.76, 4 Zn 2.83-2.91, 3 Mg 3.00
Zn1 0.7412 0.7412 0.7765  8 Sc 2.83-3.06
Zn2 0.2588 0.2588 0.2235  8 Sc 2.83-3.06
Pd1 0.5000 0.5000 0.5000  8 Sc 2.76-2.90

=====

No. 4
# Mg2ScZn2Pd2

A relaxed structure of Mg2ScZn2Pd2 (PBE-GGA, the Alexandria database).

Properties
D(E_F) = 3.881 states/eV per cell
DFT formation energy = -0.5100 eV per atom
total DFT energy (no corrections) = -3.7178 eV/atom

a b c (Å): 4.5191 4.5737 7.0854
angles (deg): 107.58 90.00 119.61
Closest atoms and distances in Å follow each position.
Fractional coordinates of all 7 atoms:
Mg1 0.5802 0.1604 0.7316  4 Pd 2.74-2.80, 3 Zn 2.87-2.91
Mg2 0.4198 0.8396 0.2684  4 Pd 2.74-2.80, 3 Zn 2.87-2.91
Sc1 0.0000 0.0000 0.0000  6 Pd 2.81-2.83, 2 Zn 2.99
Zn1 0.1494 0.2988 0.4505  1 Pd 2.64, 3 Zn 2.70-2.72, 3 Mg 2.87-2.91
Zn2 0.8506 0.7012 0.5495  1 Pd 2.64, 3 Zn 2.70-2.72, 3 Mg 2.87-2.91
Pd1 0.7153 0.4305 0.1528  1 Zn 2.64, 4 Mg 2.74-2.80, 3 Sc 2.81-2.83
Pd2 0.2847 0.5695 0.8472  1 Zn 2.64, 4 Mg 2.74-2.80, 3 Sc 2.81-2.83

=====

No. 5
# MgSc2Zn2Pd5

A relaxed structure of MgSc2Zn2Pd5 (PBE-GGA, the Alexandria database).

Properties
D(E_F) = 9.654 states/eV per cell
DFT formation energy = -0.6491 eV per atom
total DFT energy (no corrections) = -4.9261 eV/atom

a b c (Å): 3.7731 9.4379 9.4379
angles (deg): 90.00 90.00 90.00
Closest atoms and distances in Å follow each position.
Fractional coordinates of all 20 atoms:
Mg1 0.0000 0.0000 0.0000  8 Pd 2.77
Mg2 0.0000 0.5000 0.5000  8 Pd 2.77
Sc1 0.0000 0.6743 0.1743  3 Zn 2.71-2.85, 6 Pd 2.99-3.03
Sc2 0.0000 0.3257 0.8257  3 Zn 2.71-2.85, 6 Pd 2.99-3.03
Sc3 0.0000 0.1743 0.3257  3 Zn 2.71-2.85, 6 Pd 2.99-3.03
Sc4 0.0000 0.8257 0.6743  3 Zn 2.71-2.85, 6 Pd 2.99-3.03
Zn1 0.0000 0.1229 0.6229  6 Pd 2.50-2.55, 1 Sc 2.71
Zn2 0.0000 0.8771 0.3771  6 Pd 2.50-2.55, 1 Sc 2.71
Zn3 0.0000 0.6229 0.8771  6 Pd 2.50-2.55, 1 Sc 2.71
Zn4 0.0000 0.3771 0.1229  6 Pd 2.50-2.55, 1 Sc 2.71
Pd1 0.5000 0.2018 0.0758  2 Zn 2.55, 2 Mg 2.77
Pd2 0.5000 0.7982 0.9242  2 Zn 2.55, 2 Mg 2.77
Pd3 0.5000 0.0758 0.7982  2 Zn 2.55, 2 Mg 2.77
Pd4 0.5000 0.7018 0.4242  2 Zn 2.55, 2 Mg 2.77
Pd5 0.5000 0.9242 0.2018  2 Zn 2.55, 2 Mg 2.77
Pd6 0.5000 0.2982 0.5758  2 Zn 2.55, 2 Mg 2.77
Pd7 0.5000 0.5758 0.7018  2 Zn 2.55, 2 Mg 2.77
Pd8 0.5000 0.4242 0.2982  2 Zn 2.55, 2 Mg 2.77
Pd9 0.5000 0.5000 0.0000  4 Zn 2.50
Pd10 0.5000 0.0000 0.5000  4 Zn 2.50

=====

No. 6
# Mg2ZrSc5Pd2

A relaxed structure of Mg2ZrSc5Pd2 (PBE-GGA, the Alexandria database).

Properties
D(E_F) = 19.370 states/eV per cell
DFT formation energy = -0.2585 eV per atom
total DFT energy (no corrections) = -5.6366 eV/atom

a b c (Å): 3.5388 11.3471 11.3471
angles (deg): 90.00 90.00 90.00
Closest atoms and distances in Å follow each position.
Fractional coordinates of all 20 atoms:
Mg1 0.0000 0.6797 0.1797  1 Pd 3.10, 6 Sc 3.38-3.44
Mg2 0.0000 0.3203 0.8203  1 Pd 3.10, 6 Sc 3.38-3.44
Mg3 0.0000 0.1797 0.3203  1 Pd 3.10, 6 Sc 3.38-3.44
Mg4 0.0000 0.8203 0.6797  1 Pd 3.10, 6 Sc 3.38-3.44
Zr1 0.0000 0.0000 0.0000  8 Sc 3.03
Zr2 0.0000 0.5000 0.5000  8 Sc 3.03
Sc1 0.5000 0.2075 0.0621  2 Pd 2.68
Sc2 0.5000 0.7925 0.9379  2 Pd 2.68
Sc3 0.5000 0.0621 0.7925  2 Pd 2.68
Sc4 0.5000 0.7075 0.4379  2 Pd 2.68
Sc5 0.5000 0.9379 0.2075  2 Pd 2.68
Sc6 0.5000 0.2925 0.5621  2 Pd 2.68
Sc7 0.5000 0.5621 0.7075  2 Pd 2.68
Sc8 0.5000 0.4379 0.2925  2 Pd 2.68
Sc9 0.5000 0.5000 0.0000  4 Pd 2.70
Sc10 0.5000 0.0000 0.5000  4 Pd 2.70
Pd1 0.0000 0.1268 0.6268  6 Sc 2.68-2.70
Pd2 0.0000 0.8732 0.3732  6 Sc 2.68-2.70
Pd3 0.0000 0.6268 0.8732  6 Sc 2.68-2.70
Pd4 0.0000 0.3732 0.1268  6 Sc 2.68-2.70

=====

No. 7
# MgZrScPd

A relaxed structure of MgZrScPd (PBE-GGA, the Alexandria database).

Properties
D(E_F) = 4.413 states/eV per cell
DFT formation energy = -0.4042 eV per atom
total DFT energy (no corrections) = -5.8210 eV/atom

a b c (Å): 3.2947 3.2947 7.3814
angles (deg): 90.00 90.00 90.00
Closest atoms and distances in Å follow each position.
Fractional coordinates of all 4 atoms:
Mg1 0.5000 0.5000 0.7807  4 Pd 2.78
Zr1 0.0000 0.0000 0.0728  4 Sc 3.13, 4 Mg 3.17, 4 Zr 3.29
Sc1 0.5000 0.5000 0.3568  4 Pd 2.83, 1 Mg 3.13, 4 Zr 3.13
Pd1 0.0000 0.0000 0.5744  4 Mg 2.78, 4 Sc 2.83

=====

No. 8
# Mg2PdSe

A relaxed structure of Mg2PdSe (PBE-GGA, the Alexandria database).

Properties
raw formation energy = -442.0 meV/atom
D(E_F) = 0.860 states/eV per cell
total DFT energy (no corrections) = -3.4087 eV/atom

a b c (Å): 6.6723 6.6723 6.4033
angles (deg): 58.60 58.60 90.00
Closest atoms and distances in Å follow each position.
Fractional coordinates of all 8 atoms:
Mg1 0.6219 0.1250 0.2500  2 Se 2.58, 2 Pd 2.61
Mg2 0.1281 0.6250 0.2500  2 Se 2.58, 2 Pd 2.61
Mg3 0.3750 0.3781 0.7500  2 Se 2.58, 2 Pd 2.61
Mg4 0.8750 0.8719 0.7500  2 Se 2.58, 2 Pd 2.61
Se1 0.5000 0.5000 0.0000  4 Mg 2.58
Se2 0.2500 0.7500 0.5000  4 Mg 2.58
Pd1 0.0000 0.0000 0.0000  4 Mg 2.61
Pd2 0.7500 0.2500 0.5000  4 Mg 2.61

=====

No. 9
# MgPd7Se2

A relaxed structure of MgPd7Se2 (PBE-GGA, the Alexandria database).

Properties
raw formation energy = -308.7 meV/atom
D(E_F) = 7.238 states/eV per cell
total DFT energy (no corrections) = -4.8001 eV/atom

a b c (Å): 4.0721 4.0721 10.6446
angles (deg): 101.03 101.03 90.00
Closest atoms and distances in Å follow each position.
Fractional coordinates of all 10 atoms:
Mg1 0.0000 0.0000 0.0000  12 Pd 2.82-2.88
Pd1 0.0950 0.5950 0.1901  2 Se 2.54, 2 Pd 2.82, 2 Mg 2.82
Pd2 0.4050 0.9050 0.8099  2 Se 2.54, 2 Mg 2.82, 2 Pd 2.82
Pd3 0.5950 0.0950 0.1901  2 Se 2.54, 2 Mg 2.82, 2 Pd 2.82
Pd4 0.5000 0.5000 0.0000  8 Pd 2.82, 4 Mg 2.88
Pd5 0.7500 0.2500 0.5000  4 Se 2.62, 4 Pd 2.88
Pd6 0.9050 0.4050 0.8099  2 Se 2.54, 2 Pd 2.82, 2 Mg 2.82
Pd7 0.2500 0.7500 0.5000  4 Se 2.62, 4 Pd 2.88
Se1 0.6693 0.6693 0.3385  8 Pd 2.54-2.62
Se2 0.3307 0.3307 0.6615  8 Pd 2.54-2.62

=====

No. 10
# Mg2Pd2Se

A relaxed structure of Mg2Pd2Se (PBE-GGA, the Alexandria database).

Properties
raw formation energy = -564.5 meV/atom
D(E_F) = 0.916 states/eV per cell
total DFT energy (no corrections) = -3.9764 eV/atom

a b c (Å): 6.9654 6.9654 3.7072
angles (deg): 90.00 90.00 90.00
Closest atoms and distances in Å follow each position.
Fractional coordinates of all 10 atoms:
Mg1 0.1608 0.6608 0.5000  6 Pd 2.70-2.80
Mg2 0.6608 0.8392 0.5000  6 Pd 2.70-2.80
Mg3 0.8392 0.3392 0.5000  6 Pd 2.70-2.80
Mg4 0.3392 0.1608 0.5000  6 Pd 2.70-2.80
Se1 0.0000 0.0000 0.0000  4 Pd 2.69
Se2 0.5000 0.5000 0.0000  4 Pd 2.69
Pd1 0.3601 0.8601 0.0000  2 Se 2.69, 6 Mg 2.70-2.80, 1 Pd 2.76
Pd2 0.8601 0.6399 0.0000  2 Se 2.69, 6 Mg 2.70-2.80, 1 Pd 2.76
Pd3 0.6399 0.1399 0.0000  2 Se 2.69, 6 Mg 2.70-2.80, 1 Pd 2.76
Pd4 0.1399 0.3601 0.0000  2 Se 2.69, 6 Mg 2.70-2.80, 1 Pd 2.76

=====

No. 11
# Mg2Pd8Se

A relaxed structure of Mg2Pd8Se (PBE-GGA, the Alexandria database).

Properties
raw formation energy = -391.2 meV/atom
D(E_F) = 4.214 states/eV per cell
total DFT energy (no corrections) = -4.7746 eV/atom

a b c (Å): 4.5442 5.7389 7.7557
angles (deg): 111.64 107.04 90.00
Closest atoms and distances in Å follow each position.
Fractional coordinates of all 11 atoms:
Mg1 0.1880 0.6879 0.3760  12 Pd 2.73-2.93
Mg2 0.8120 0.3121 0.6240  12 Pd 2.73-2.93
Pd1 0.6395 0.4012 0.2789  1 Se 2.43
Pd2 0.3599 0.1202 0.7198  1 Se 2.43
Pd3 0.1845 0.1852 0.3690  8 Pd 2.77-2.92, 4 Mg 2.86-2.87
Pd4 0.0003 0.7444 0.0005  2 Se 2.71, 8 Pd 2.80-2.97, 2 Mg 2.92-2.93
Pd5 0.8155 0.8148 0.6310  8 Pd 2.77-2.92, 4 Mg 2.86-2.87
Pd6 0.6401 0.8798 0.2802  1 Se 2.43
Pd7 0.3605 0.5988 0.7211  1 Se 2.43
Pd8 0.9997 0.2556 0.9995  2 Se 2.71, 8 Pd 2.80-2.97, 2 Mg 2.92-2.93
Se1 0.5000 0.0000 0.0000  8 Pd 2.43-2.71

=====

No. 12
# MgPdSe3

A relaxed structure of MgPdSe3 (PBE-GGA, the Alexandria database).

Properties
raw formation energy = 74.4 meV/atom
D(E_F) = 4.348 states/eV per cell
total DFT energy (no corrections) = -3.3738 eV/atom

a b c (Å): 4.9634 4.9634 4.9634
angles (deg): 90.00 90.00 90.00
Closest atoms and distances in Å follow each position.
Fractional coordinates of all 5 atoms:
Mg1 0.5000 0.5000 0.5000  12 Se 3.51
Se1 0.0000 0.5000 0.0000  2 Pd 2.48
Se2 0.0000 0.0000 0.5000  2 Pd 2.48
Se3 0.5000 0.0000 0.0000  2 Pd 2.48
Pd1 0.0000 0.0000 0.0000  6 Se 2.48